Record 1
A plane-wave DFT calculation with GGA-PBE was carried out for an optimized crystal structure of V2Cu2Bi.

a b c (Å): 6.9009 6.9009 3.4650
angles (deg): 90.00 90.00 90.00
Space group P4/mbm (No. 127)
Symmetry-distinct sites (fractional):
V  0.1576  0.3424  0.0000 (multiplicity 4)
Cu  0.1257  0.6257  0.5000 (multiplicity 4)
Bi  0.0000  0.0000  0.5000 (multiplicity 2)

Record 2
A plane-wave DFT calculation with GGA-PBE was carried out for an optimized crystal structure of CuBi2W.

## Properties
Energy relative to the lowest polymorph listed for this composition: 0.000 eV per atom

a b c (Å): 7.0126 7.0126 7.0126
angles (deg): 90.00 90.00 90.00
Space group Fm-3m (No. 225)
Symmetry-distinct sites (fractional):
Cu  0.0000  0.0000  0.0000 (multiplicity 4)
Bi  0.2500  0.2500  0.2500 (multiplicity 8)
W  0.0000  0.0000  0.5000 (multiplicity 4)

Record 3
A plane-wave DFT calculation with GGA-PBE was carried out for an optimized crystal structure of Cu2BiW.

a b c (Å): 7.2653 7.2653 5.4560
angles (deg): 90.00 90.00 90.00
Space group I-42d (No. 122)
Symmetry-distinct sites (fractional):
Cu  0.2324  0.2500  0.1250 (multiplicity 8)
Bi  0.0000  0.0000  0.5000 (multiplicity 4)
W  0.0000  0.0000  0.0000 (multiplicity 4)

Record 4
A plane-wave DFT calculation with GGA-PBE was carried out for an optimized crystal structure of CuBi4W2.

a b c (Å): 5.4498 5.4498 13.4210
angles (deg): 90.00 90.00 90.00
Space group I4/mmm (No. 139)
Symmetry-distinct sites (fractional):
Cu  0.0000  0.0000  0.0000 (multiplicity 2)
Bi  0.0000  0.0000  0.2006 (multiplicity 4)
Bi  0.0000  0.5000  0.0000 (multiplicity 4)
W  0.0000  0.0000  0.4124 (multiplicity 4)

Record 5
A plane-wave DFT calculation with GGA-PBE was carried out for an optimized crystal structure of CuBi2W.

## Properties
Energy relative to the lowest polymorph listed for this composition: 0.212 eV per atom

a b c (Å): 6.3338 6.3338 12.1964
angles (deg): 90.00 90.00 90.00
Space group I-42d (No. 122)
Symmetry-distinct sites (fractional):
Cu  0.0000  0.0000  0.0000 (multiplicity 4)
Bi  0.2447  0.2500  0.1250 (multiplicity 8)
W  0.0000  0.0000  0.5000 (multiplicity 4)

Record 6
A plane-wave DFT calculation with GGA-PBE was carried out for an optimized crystal structure of CuBiW2.

a b c (Å): 3.8842 3.8842 20.0837
angles (deg): 90.00 90.00 90.00
Space group I-42d (No. 122)
Symmetry-distinct sites (fractional):
Cu  0.0000  0.0000  0.0000 (multiplicity 4)
Bi  0.0000  0.0000  0.5000 (multiplicity 4)
W  0.2117  0.2500  0.1250 (multiplicity 8)

Record 7
A plane-wave DFT calculation with GGA-PBE was carried out for an optimized crystal structure of YCu2Bi2.

## Properties
Energy relative to the lowest polymorph listed for this composition: 0.056 eV per atom

a b c (Å): 4.0133 4.0133 14.5140
angles (deg): 90.00 90.00 90.00
Space group I4/mmm (No. 139)
Symmetry-distinct sites (fractional):
Y  0.0000  0.0000  0.0000 (multiplicity 2)
Cu  0.0000  0.5000  0.2500 (multiplicity 4)
Bi  0.0000  0.0000  0.3816 (multiplicity 4)

Record 8
A plane-wave DFT calculation with GGA-PBE was carried out for an optimized crystal structure of YCuBi.

a b c (Å): 4.6296 4.6296 23.6269
angles (deg): 90.00 90.00 120.00
Space group R-3m (No. 166, hexagonal axes)
Symmetry-distinct sites (fractional):
Y  0.0000  0.0000  0.2404 (multiplicity 6)
Cu  0.0000  0.0000  0.3725 (multiplicity 6)
Bi  0.0000  0.0000  0.0000 (multiplicity 3)
Bi  0.0000  0.0000  0.5000 (multiplicity 3)

Record 9
A plane-wave DFT calculation with GGA-PBE was carried out for an optimized crystal structure of YCuBi.

a b c (Å): 4.4599 4.4599 8.4691
angles (deg): 90.00 90.00 120.00
Space group P-6m2 (No. 187)
Symmetry-distinct sites (fractional):
Y  0.0000  0.0000  0.0000 (multiplicity 1)
Y  0.0000  0.0000  0.5000 (multiplicity 1)
Cu  0.3333  0.6667  0.1546 (multiplicity 2)
Bi  0.6667  0.3333  0.2651 (multiplicity 2)

Record 10
A plane-wave DFT calculation with GGA-PBE was carried out for an optimized crystal structure of YCuBi.

a b c (Å): 10.7124 4.4851 6.5399
angles (deg): 90.00 100.41 90.00
Space group C2/m (No. 12)
Symmetry-distinct sites (fractional):
Y  0.1202  0.0000  0.2262 (multiplicity 4)
Cu  0.0965  0.5000  0.9253 (multiplicity 4)
Bi  0.1675  0.0000  0.7253 (multiplicity 4)

Record 11
A plane-wave DFT calculation with GGA-PBE was carried out for an optimized crystal structure of Y3CuBi.

## Properties
Energy relative to the lowest polymorph listed for this composition: 0.053 eV per atom

a b c (Å): 5.3107 5.3107 5.3107
angles (deg): 90.00 90.00 90.00
Space group Pm-3m (No. 221)
Symmetry-distinct sites (fractional):
Y  0.0000  0.0000  0.5000 (multiplicity 3)
Cu  0.0000  0.0000  0.0000 (multiplicity 1)
Bi  0.5000  0.5000  0.5000 (multiplicity 1)

Record 12
A plane-wave DFT calculation with GGA-PBE was carried out for an optimized crystal structure of Y6Cu2Bi.

a b c (Å): 9.3510 9.8487 10.6781
angles (deg): 90.00 90.00 90.00
Space group Immm (No. 71)
Symmetry-distinct sites (fractional):
Y  0.0000  0.2026  0.2285 (multiplicity 8)
Y  0.1897  0.5000  0.1795 (multiplicity 8)
Y  0.2064  0.3120  0.5000 (multiplicity 8)
Cu  0.0000  0.3568  0.0000 (multiplicity 4)
Cu  0.0000  0.5000  0.3827 (multiplicity 4)
Bi  0.0000  0.0000  0.0000 (multiplicity 2)
Bi  0.0000  0.0000  0.5000 (multiplicity 2)

| no. | DFT formation energy (meV per atom) | total energy (hartree per atom) |
| --- | --- | --- |
| 1 | 455 | -0.2061 |
| 2 | 934 | -0.1936 |
| 3 | 880 | -0.1976 |
| 4 | 1154 | -0.1966 |
| 5 | 1147 | -0.1858 |
| 6 | 953 | -0.2763 |
| 7 | -109 | -0.1688 |
| 8 | -430 | -0.1927 |
| 9 | -472 | -0.1942 |
| 10 | -441 | -0.1931 |
| 11 | -228 | -0.2095 |
| 12 | -284 | -0.2181 |